(1)
PBE In3AsF, relaxed; spin magnetization = 0.00 Bohr magnetons per cell; ΔE to the lowest computed polymorph = 0 meV/atom; V = 25.068 Å³/atom
1.0
5.0046 0.0000 0.0000
0.0000 5.0046 0.0000
0.0000 0.0000 5.0046
In As F
3 1 1
Direct
0.0000 0.0000 0.5000 In
0.0000 0.5000 0.0000 In
0.5000 0.0000 0.0000 In
0.5000 0.5000 0.5000 As
0.0000 0.0000 0.0000 F

(2)
PBE InAs2F, relaxed; spin magnetization = 0.00 Bohr magnetons per cell; ΔE to the lowest computed polymorph = 0 meV/atom; V = 20.202 Å³/atom
1.0
-1.9029 1.9029 11.1583
1.9029 -1.9029 11.1583
1.9029 1.9029 -11.1583
In As F
2 4 2
Direct
0.0000 0.0000 0.0000 In
0.7500 0.2500 0.5000 In
0.1648 0.6250 0.0398 As
0.3750 0.4148 0.5398 As
0.5852 0.1250 0.9602 As
0.8750 0.8352 0.4602 As
0.2500 0.7500 0.5000 F
0.5000 0.5000 0.0000 F

(3)
PBE In3AsF, relaxed; spin magnetization = 0.00 Bohr magnetons per cell; ΔE to the lowest computed polymorph = 326 meV/atom; V = 32.971 Å³/atom
1.0
5.4832 0.0000 0.0000
0.0000 5.4832 0.0000
0.0000 0.0000 5.4832
In As F
3 1 1
Direct
0.0000 0.0000 0.5000 In
0.0000 0.5000 0.0000 In
0.5000 0.0000 0.0000 In
0.0000 0.0000 0.0000 As
0.5000 0.5000 0.5000 F

(4)
PBE InAs2F, relaxed; spin magnetization = 0.00 Bohr magnetons per cell; ΔE to the lowest computed polymorph = 286 meV/atom; V = 18.100 Å³/atom
1.0
0.0000 3.3080 3.3080
3.3080 0.0000 3.3080
3.3080 3.3080 0.0000
In As F
1 2 1
Direct
0.0000 0.0000 0.0000 In
0.2500 0.2500 0.2500 As
0.7500 0.7500 0.7500 As
0.5000 0.5000 0.5000 F